{
  "formula": "Cr4CdCuO8",
  "functional": "PBE+U",
  "state": "relaxed",
  "energy_ev_per_atom": -6.976,
  "spacegroup": "F-43m, No. 216",
  "cell": [[0.0000, 4.3121, 4.3121], [4.3121, 0.0000, 4.3121], [4.3121, 4.3121, 0.0000]],
  "species": ["Cr", "Cr", "Cr", "Cr", "Cd", "Cu", "O", "O", "O", "O", "O", "O", "O", "O"],
  "fractional_positions": [[0.1248, 0.1248, 0.1248], [0.1248, 0.1248, 0.6255], [0.1248, 0.6255, 0.1248], [0.6255, 0.1248, 0.1248], [0.5000, 0.5000, 0.5000], [0.7500, 0.7500, 0.7500], [0.3364, 0.8879, 0.8879], [0.3566, 0.3566, 0.3566], [0.3566, 0.3566, 0.9301], [0.3566, 0.9301, 0.3566], [0.8879, 0.3364, 0.8879], [0.8879, 0.8879, 0.3364], [0.8879, 0.8879, 0.8879], [0.9301, 0.3566, 0.3566]]
}